3
Lattice="-0.986 2.181 -1.984 -2.914 -0.402 1.007 2.785 3.157 4.521" Properties=species:S:1:pos:R:3 comment="HfInCu | Alexandria via LeMat-Bulk | GGA-PBE | optimized geometry" e_form_ev_per_atom=-0.099 dft_energy_ev_per_cell=-17.1 pbc="T T T"
In 0.532 2.581 2.572
Cu -1.676 2.219 0.836
Hf 0.028 0.136 0.135